Computed, not measured: crystalline Mg7Nb at its relaxed geometry at the PBE-GGA level of DFT.

Geometry as CIF:
```
data_Mg7Nb
_symmetry_space_group_name_H-M 'F m -3 m'
_symmetry_Int_Tables_number 225
_symmetry_space_group_name_Hall '-F 4 2 3'
_cell_length_a 8.796
_cell_length_b 8.796
_cell_length_c 8.796
_cell_angle_alpha 90.00
_cell_angle_beta 90.00
_cell_angle_gamma 90.00
loop_
_atom_site_label
_atom_site_type_symbol
_atom_site_fract_x
_atom_site_fract_y
_atom_site_fract_z
Mg1 Mg 0.000 0.000 0.000
Mg2 Mg 0.000 0.250 0.250
Nb1 Nb 0.000 0.000 0.500
```

Results
Distance to the lowest polymorph of the same formula   0 meV per atom
Uncorrected energy   -20.36 eV/f.u.
DFT formation energy   108 meV/atom